# Th2Cu3Pd | Alexandria via LeMat-Bulk | GGA-PBE | relaxed
data_Th2Cu3Pd
_cell_length_a 3.579
_cell_length_b 4.375
_cell_length_c 7.719
_cell_angle_alpha 90.00
_cell_angle_beta 90.00
_cell_angle_gamma 90.00
_symmetry_space_group_name_H-M 'P m m 2'
_symmetry_Int_Tables_number 25
loop_
_symmetry_equiv_pos_as_xyz
'x,y,z'
'-x,-y,z'
'-x,y,z'
'x,-y,z'
loop_
_atom_site_label
_atom_site_type_symbol
_atom_site_fract_x
_atom_site_fract_y
_atom_site_fract_z
Th1 Th 0.000 0.000 0.000
Th2 Th 0.000 0.500 0.498
Cu1 Cu 0.500 0.000 0.677
Cu2 Cu 0.500 0.500 0.154
Cu3 Cu 0.500 0.500 0.832
Pd1 Pd 0.500 0.000 0.338
# energy relative to the elements	-0.3709	eV/atom
# DOS(E_F)	4.2	states/eV/f.u.
# polymorph energy (0 for the lowest one)	3	meV/atom